# KHo2ZnTe4

An optimized crystal structure of KHo2ZnTe4 (GGA-PBE, Alexandria via LeMat-Bulk).

Cell and atoms, written as POSCAR:
```
KHo2ZnTe4
1.0
-4.233 1.262 0.138
0.333 -7.008 3.497
2.520 6.957 13.703
K Ho Te Zn
2 4 8 2
Cartesian
-2.837 -2.455 6.193
1.456 3.666 11.145
1.045 1.803 15.581
-1.454 2.092 7.044
0.073 -0.882 10.294
-2.426 -0.592 1.757
-0.717 3.811 13.928
1.260 3.479 6.852
0.317 -0.404 13.421
0.000 0.000 0.000
-1.417 1.880 10.125
-1.698 1.615 3.917
-0.663 -2.600 3.411
0.036 -0.669 7.214
0.065 -0.282 4.556
-1.445 1.493 12.783
```

Values from the calculation:
- magnetic moment (μB/f.u.) = 0.00
- ΔE_f (raw) (eV/atom) = -1.053
- SG = Cmcm

=====

# Zr2PdPt

An optimized crystal structure of Zr2PdPt (GGA-PBE, Alexandria via LeMat-Bulk).

Cell and atoms, written as POSCAR:
```
Zr2PdPt
1.0
-2.393 3.617 -6.049
3.559 -4.894 -4.334
-1.764 -2.292 -5.252
Zr Pt Pd
4 2 2
Cartesian
-0.288 -2.856 -13.042
-0.900 -2.178 -7.815
-1.501 1.091 -5.660
1.494 -3.194 -4.754
-1.787 0.344 -8.247
0.000 0.000 0.000
0.583 -0.638 -5.192
1.189 -3.912 -7.389
```

Values from the calculation:
- magnetic moment (μB/f.u.) = 0.00
- SG = I-42d
- calculated total energy (eV per atom) = -7.50

=====

# TlZnIn2

An optimized crystal structure of TlZnIn2 (GGA-PBE, Alexandria via LeMat-Bulk).

Cell and atoms, written as POSCAR:
```
TlZnIn2
1.0
-4.413 1.220 -0.152
-0.848 -2.830 1.912
0.382 2.154 6.208
In Tl Zn
2 1 1
Cartesian
-2.277 0.581 1.740
-0.679 -2.262 1.546
-0.256 -0.383 4.364
-2.749 -0.559 6.289
```

Values from the calculation:
- magnetic moment (μB/f.u.) = 0.00
- SG = Pm
- calculated total energy (eV per atom) = -2.18

=====

# K2Cd3AgPb4

An optimized crystal structure of K2Cd3AgPb4 (GGA-PBE, Alexandria via LeMat-Bulk).

Cell and atoms, written as POSCAR:
```
K2Cd3AgPb4
1.0
5.044 0.000 0.000
0.000 5.044 0.000
0.000 0.000 12.640
Pb Ag Cd K
4 1 3 2
Cartesian
2.522 0.000 7.880
2.522 2.522 0.000
0.000 2.522 4.760
0.000 0.000 0.000
2.522 2.522 6.320
0.000 0.000 6.320
0.000 2.522 1.810
2.522 0.000 10.831
0.000 2.522 9.348
2.522 0.000 3.292
```

Values from the calculation:
- magnetic moment (μB/f.u.) = 0.00
- SG = P-4m2
- calculated total energy (eV per atom) = -2.33